1.
First-principles (PBE-GGA) data for a geometry-optimized La5TbPr2Nd structure, as listed in Alexandria via LeMat-Bulk.

It has space group I4/mcm (No. 140), with a = 9.074 Å, b = 9.074 Å, c = 15.870 Å, α = 90.00°, β = 90.00° and γ = 90.00°. The distinct sites, in fractional coordinates, are La at (0.000, 0.000, 0.000), La at (0.208, 0.292, 0.140), Tb at (0.000, 0.500, 0.250), Pr at (0.117, 0.383, 0.500) and Nd at (0.000, 0.000, 0.250).

The value obtained for the formation energy is 0.25 eV per atom.

=====

2.
First-principles (PBE-GGA) data for a geometry-optimized Li6InGa structure, as listed in Alexandria via LeMat-Bulk.

It has space group Amm2 (No. 38), with a = 4.579 Å, b = 6.560 Å, c = 9.141 Å, α = 90.00°, β = 90.00° and γ = 90.00°. The distinct sites, in fractional coordinates, are Li at (0.000, 0.000, 0.000), Li at (0.000, 0.236, 0.272), Li at (0.500, 0.000, 0.307), Li at (0.500, 0.243, 0.030), In at (0.500, 0.000, 0.768) and Ga at (0.000, 0.000, 0.534).

The value obtained for the formation energy is -0.21 eV per atom.

=====

3.
First-principles (PBE-GGA) data for a geometry-optimized LaEr2Fe structure, as listed in Alexandria via LeMat-Bulk.

It has space group R-3m (No. 166, hexagonal axes), with a = 3.4710 Å, b = 3.4710 Å, c = 31.8999 Å, α = 90.00°, β = 90.00° and γ = 120.00°. The distinct sites, in fractional coordinates, are La at (0.0000, 0.0000, 0.0000), Er at (0.0000, 0.0000, 0.1095) and Fe at (0.0000, 0.0000, 0.5000).

The value obtained for the formation energy is 0.27 eV per atom.

=====

4.
First-principles (PBE-GGA) data for a geometry-optimized Sc2VFe5B2 structure, as listed in Alexandria via LeMat-Bulk.

It has space group P4/mbm (No. 127), with a = 8.833 Å, b = 8.833 Å, c = 2.889 Å, α = 90.00°, β = 90.00° and γ = 90.00°. The distinct sites, in fractional coordinates, are Sc at (0.175, 0.325, 0.000), V at (0.000, 0.000, 0.000), Fe at (0.000, 0.500, 0.500), Fe at (0.068, 0.784, 0.500) and B at (0.121, 0.621, 0.000).

The value obtained for the formation energy is -0.35 eV per atom.

=====

5.
First-principles (PBE-GGA) data for a geometry-optimized ScNbFe4 structure, as listed in Alexandria via LeMat-Bulk.

It has space group F-43m (No. 216), with a = 6.900 Å, b = 6.900 Å, c = 6.900 Å, α = 90.00°, β = 90.00° and γ = 90.00°. The distinct sites, in fractional coordinates, are Sc at (0.000, 0.000, 0.000), Nb at (0.250, 0.250, 0.750) and Fe at (0.125, 0.125, 0.375).

The value obtained for the formation energy is -0.21 eV per atom.

=====

6.
First-principles (PBE-GGA) data for a geometry-optimized LiMnAgSn structure, as listed in Alexandria via LeMat-Bulk.

It has space group F-43m (No. 216), with a = 6.507 Å, b = 6.507 Å, c = 6.507 Å, α = 90.00°, β = 90.00° and γ = 90.00°. The distinct sites, in fractional coordinates, are Li at (0.000, 0.000, 0.000), Mn at (0.000, 0.000, 0.500), Ag at (0.250, 0.250, 0.250) and Sn at (0.250, 0.250, 0.750).

The value obtained for the formation energy is -0.09 eV per atom.

=====

Repeat the fifth record exactly.
First-principles (PBE-GGA) data for a geometry-optimized ScNbFe4 structure, as listed in Alexandria via LeMat-Bulk.

It has space group F-43m (No. 216), with a = 6.900 Å, b = 6.900 Å, c = 6.900 Å, α = 90.00°, β = 90.00° and γ = 90.00°. The distinct sites, in fractional coordinates, are Sc at (0.000, 0.000, 0.000), Nb at (0.250, 0.250, 0.750) and Fe at (0.125, 0.125, 0.375).

The value obtained for the formation energy is -0.21 eV per atom.

=====

What is the formula in the first record?
La5TbPr2Nd